Record 1
Computed, not measured: crystalline ScZn3Cu at its relaxed geometry at the GGA-PBE level of DFT.

Geometry as CIF:
```
data_ScZn3Cu
_symmetry_space_group_name_H-M 'P m -3 m'
_symmetry_Int_Tables_number 221
_symmetry_space_group_name_Hall '-P 4 2 3'
_cell_length_a 4.515
_cell_length_b 4.515
_cell_length_c 4.515
_cell_angle_alpha 90.00
_cell_angle_beta 90.00
_cell_angle_gamma 90.00
loop_
_atom_site_label
_atom_site_fract_x
_atom_site_fract_y
_atom_site_fract_z
Sc1 0.000 0.000 0.000
Zn1 0.000 0.500 0.500
Cu1 0.500 0.500 0.500
```

- E (eV/atom) = -2.77

---

Record 2
Computed, not measured: crystalline Sc2Zn7Cu at its relaxed geometry at the GGA-PBE level of DFT.

Geometry as CIF:
```
data_Sc2Zn7Cu
_symmetry_space_group_name_H-M 'F m -3 m'
_symmetry_Int_Tables_number 225
_symmetry_space_group_name_Hall '-F 4 2 3'
_cell_length_a 9.103
_cell_length_b 9.103
_cell_length_c 9.103
_cell_angle_alpha 90.00
_cell_angle_beta 90.00
_cell_angle_gamma 90.00
loop_
_atom_site_label
_atom_site_fract_x
_atom_site_fract_y
_atom_site_fract_z
Sc1 0.250 0.250 0.250
Zn1 0.000 0.000 0.000
Zn2 0.000 0.000 0.253
Cu1 0.000 0.000 0.500
```

- E (eV/atom) = -2.42

---

Record 3
Computed, not measured: crystalline ScZnCu5 at its relaxed geometry at the GGA-PBE level of DFT.

Geometry as CIF:
```
data_ScZnCu5
_symmetry_space_group_name_H-M 'P n m a'
_symmetry_Int_Tables_number 62
_cell_length_a 7.932
_cell_length_b 4.902
_cell_length_c 10.072
_cell_angle_alpha 90.00
_cell_angle_beta 90.00
_cell_angle_gamma 90.00
loop_
_symmetry_equiv_pos_as_xyz
'x,y,z'
'-x,-y,-z'
'-x+1/2,-y,z+1/2'
'x+1/2,y,-z+1/2'
'x+1/2,-y+1/2,-z+1/2'
'-x+1/2,y+1/2,z+1/2'
'-x,y+1/2,-z'
'x,-y+1/2,z'
loop_
_atom_site_label
_atom_site_fract_x
_atom_site_fract_y
_atom_site_fract_z
Sc1 0.245 0.250 0.065
Zn1 0.141 0.750 0.856
Cu1 0.058 0.750 0.089
Cu2 0.065 0.007 0.308
Cu3 0.097 0.250 0.518
Cu4 0.186 0.250 0.752
```

- E (eV/atom) = -4.16

---

Record 4
Computed, not measured: crystalline Sc2Zn3Cu2 at its relaxed geometry at the GGA-PBE level of DFT.

Geometry as CIF:
```
data_Sc2Zn3Cu2
_symmetry_space_group_name_H-M 'C 1 2/m 1'
_symmetry_Int_Tables_number 12
_cell_length_a 9.092
_cell_length_b 4.178
_cell_length_c 6.432
_cell_angle_alpha 90.00
_cell_angle_beta 111.58
_cell_angle_gamma 90.00
loop_
_symmetry_equiv_pos_as_xyz
'x,y,z'
'-x,-y,-z'
'-x,y,-z'
'x,-y,z'
'x+1/2,y+1/2,z'
'-x+1/2,-y+1/2,-z'
'-x+1/2,y+1/2,-z'
'x+1/2,-y+1/2,z'
loop_
_atom_site_label
_atom_site_fract_x
_atom_site_fract_y
_atom_site_fract_z
Sc1 0.142 0.000 0.272
Zn1 0.000 0.500 0.500
Zn2 0.119 0.500 0.935
Cu1 0.147 0.000 0.703
```

- E (eV/atom) = -3.82

---

Record 5
Computed, not measured: crystalline ScZnCu2 at its relaxed geometry at the GGA-PBE level of DFT.

Geometry as CIF:
```
data_ScZnCu2
_symmetry_space_group_name_H-M 'R -3 m'
_symmetry_Int_Tables_number 166
_symmetry_space_group_name_Hall '-R 3 2"'
_cell_length_a 2.8475
_cell_length_b 2.8475
_cell_length_c 26.3590
_cell_angle_alpha 90.00
_cell_angle_beta 90.00
_cell_angle_gamma 120.00
loop_
_atom_site_label
_atom_site_fract_x
_atom_site_fract_y
_atom_site_fract_z
Sc1 0.0000 0.0000 0.0000
Zn1 0.0000 0.0000 0.5000
Cu1 0.0000 0.0000 0.2453
```

- E (eV/atom) = -3.87

---

Record 6
Computed, not measured: crystalline ScZnCu3 at its relaxed geometry at the GGA-PBE level of DFT.

Geometry as CIF:
```
data_ScZnCu3
_symmetry_space_group_name_H-M 'P m -3 m'
_symmetry_Int_Tables_number 221
_symmetry_space_group_name_Hall '-P 4 2 3'
_cell_length_a 4.832
_cell_length_b 4.832
_cell_length_c 4.832
_cell_angle_alpha 90.00
_cell_angle_beta 90.00
_cell_angle_gamma 90.00
loop_
_atom_site_label
_atom_site_fract_x
_atom_site_fract_y
_atom_site_fract_z
Sc1 0.000 0.000 0.000
Zn1 0.500 0.500 0.500
Cu1 0.000 0.000 0.500
```

- E (eV/atom) = -2.87